(1)
The following is a PBE-GGA calculation of PrNdTc4 after structural relaxation, from Alexandria via LeMat-Bulk.

Cell lengths 5.5029, 5.5029, 5.5029 Å; angles 60.00, 60.00, 60.00 degrees
Fractional positions:
Tc 0.6250 0.6250 0.6250
Tc 0.6250 0.6250 0.1249
Tc 0.1249 0.6250 0.6250
Tc 0.6250 0.1249 0.6250
Nd 0.0000 0.0000 0.0000
Pr 0.2500 0.2500 0.2500

Properties
DFT formation energy in eV/atom: 0.08
Total DFT energy (no corrections) in eV for the cell shown: -50.52
Crystal system: cubic

(2)
The following is a PBE-GGA calculation of Pr3NdTc after structural relaxation, from Alexandria via LeMat-Bulk.

Cell lengths 5.5739, 5.5739, 5.5739 Å; angles 90.00, 90.00, 90.00 degrees
Each line ends with the local moment (μB).
Fractional positions:
Nd 0.5000 0.5000 0.5000  0.11
Tc 0.0000 0.0000 0.0000  -0.04
Pr 0.0000 0.5000 0.0000  0.04
Pr 0.0000 0.0000 0.5000  0.04
Pr 0.5000 0.0000 0.0000  0.04

Properties
DFT formation energy in eV/atom: 0.21
Total DFT energy (no corrections) in eV for the cell shown: -28.41
Crystal system: cubic

(3)
The following is a PBE-GGA calculation of PrNd2Tc after structural relaxation, from Alexandria via LeMat-Bulk.

Cell lengths 4.0330, 6.5362, 9.5587 Å; angles 90.00, 90.00, 107.98 degrees
Fractional positions:
Nd 0.6453 0.2898 0.9296
Nd 0.6453 0.2898 0.5704
Nd 0.3547 0.7103 0.4296
Nd 0.3547 0.7103 0.0704
Pr 0.9238 0.8471 0.7500
Pr 0.0762 0.1529 0.2500
Tc 0.2613 0.5210 0.7500
Tc 0.7387 0.4790 0.2500

Properties
DFT formation energy in eV/atom: 0.03
Total DFT energy (no corrections) in eV for the cell shown: -49.10
Crystal system: orthorhombic

(4)
The following is a PBE-GGA calculation of PrNd2Tc after structural relaxation, from Alexandria via LeMat-Bulk.

Cell lengths 6.5644, 7.5264, 9.6683 Å; angles 90.00, 90.00, 90.00 degrees
Fractional positions:
Pr 0.1343 0.9525 0.7500
Pr 0.3657 0.4525 0.7500
Pr 0.8657 0.0475 0.2500
Pr 0.6343 0.5475 0.2500
Tc 0.0413 0.3912 0.2500
Tc 0.4587 0.8912 0.2500
Tc 0.9587 0.6088 0.7500
Tc 0.5413 0.1088 0.7500
Nd 0.3339 0.1760 0.0663
Nd 0.3339 0.1760 0.4337
Nd 0.6661 0.8240 0.5663
Nd 0.8339 0.3240 0.5663
Nd 0.6661 0.8240 0.9337
Nd 0.8339 0.3240 0.9337
Nd 0.1661 0.6760 0.4337
Nd 0.1661 0.6760 0.0663

Properties
DFT formation energy in eV/atom: 0.03
Total DFT energy (no corrections) in eV for the cell shown: -98.20
Crystal system: orthorhombic